[1]
CaFe2Os | PBE | relaxed

Cell: 2.970 4.652 4.506 Å, 90.00 90.00 90.00°
Last column: magnetic moment on the atom in μB.
Fractional coordinates of all 4 atoms:
Ca1 0.000 0.500 0.500  -0.07
Os1 0.500 0.000 0.500  0.34
Fe1 0.500 0.500 0.000  2.64
Fe2 0.000 0.000 0.000  2.62

Computed properties:
Energy above the most stable polymorph in this dataset (meV/atom): 409
Energy relative to the elements (kJ/mol of formula units): 280
DFT total energy (eV per atom): -6.813

---

[2]
P2RuSO | PBE | relaxed

Cell: 3.945 3.945 4.335 Å, 90.00 90.00 90.00°
Fractional coordinates of all 5 atoms:
S1 0.000 0.000 0.500
O1 0.000 0.000 0.000
Ru1 0.500 0.500 0.500
P1 0.500 0.000 0.000
P2 0.000 0.500 0.000

Computed properties:
Energy above the most stable polymorph in this dataset (meV/atom): 414
E_form (uncorrected) (eV per formula unit): 3.34
DFT total energy (eV per atom): -5.167

---

[3]
UNiP2Rh2 | PBE | relaxed

Cell: 3.898 3.898 7.333 Å, 105.41 105.41 90.00°
Last column: magnetic moment on the atom in μB.
Fractional coordinates of all 6 atoms:
P1 0.154 0.154 0.308  -0.01
P2 0.846 0.846 0.692  -0.01
Rh1 0.750 0.250 0.500  0.01
Ni1 0.000 0.000 0.000  -0.09
U1 0.500 0.500 0.000  2.40
Rh2 0.250 0.750 0.500  0.01

Computed properties:
Energy relative to the elements (kJ/mol of formula units): -298
DFT total energy (eV per atom): -7.614

---

[4]
Sc2TaCl | PBE | relaxed

Cell: 3.120 3.120 8.407 Å, 90.00 90.00 90.00°
Fractional coordinates of all 4 atoms:
Sc1 0.000 0.000 0.003
Ta1 0.500 0.500 0.250
Cl1 0.500 0.500 0.750
Sc2 0.000 0.000 0.497

Computed properties:
Energy above the most stable polymorph in this dataset (meV/atom): 79
E_form (uncorrected) (eV per formula unit): -1.70
DFT total energy (eV per atom): -7.014

---

Among the records above, which one has the highest DFT total energy? P2RuSO